# MnCo2Br

An optimized crystal structure of MnCo2Br (GGA-PBE, Alexandria).

POSCAR file:
```
MnCo2Br
1.0
6.049 0.708 -0.206
3.394 5.057 0.206
-4.389 -3.427 2.475
Br Co Mn
1 2 1
direct
0.825 0.325 0.500
0.015 0.015 0.000
0.152 0.652 0.500
0.507 0.507 0.000
```

Results
Spin magnetization in Bohr magnetons per cell: 7.57
Space group: Imm2 (44)
Energy relative to the elements, uncorrected in eV per atom: 0.54
ΔE to the lowest computed polymorph in meV per atom: 199.2



# MnCoBr

An optimized crystal structure of MnCoBr (GGA-PBE, Alexandria).

POSCAR file:
```
MnCoBr
1.0
3.208 0.000 0.000
-1.604 2.778 0.000
0.000 0.000 5.640
Mn Co Br
1 1 1
direct
0.333 0.667 0.648
0.667 0.333 0.363
0.000 0.000 0.989
```

Results
Spin magnetization in Bohr magnetons per cell: 5.07
Space group: P3m1 (156)
Energy relative to the elements, uncorrected in eV per atom: 0.41



| no. | DOS at the Fermi energy (states/eV/f.u.) |
| --- | --- |
| 1 | 3.5 |
| 2 | 3.2 |